Below is a relaxed Be2BRu2 crystal, with properties calculated at the PBE level.

Geometry as POSCAR:
```
Be2BRu2
1.0
5.718 0.000 0.000
0.000 5.718 0.000
0.000 0.000 3.284
Ru Be B
4 4 2
Direct
0.331 0.831 0.000 Ru
0.831 0.669 0.000 Ru
0.669 0.169 0.000 Ru
0.169 0.331 0.000 Ru
0.635 0.865 0.500 Be
0.135 0.635 0.500 Be
0.865 0.365 0.500 Be
0.365 0.135 0.500 Be
0.000 0.000 0.000 B
0.500 0.500 0.000 B
```

Values from the calculation:
As for the total energy: -33.59 eV per formula unit. As for the energy above the most stable polymorph in this dataset: 10.4 kJ per mole of atoms. The density of states at the Fermi level is 0.662 states/eV per atom. The formation energy comes out at -87 kJ/mol of formula units.